# 1
The following is a PBE calculation of NbAl6Te3 after structural relaxation, from OQMD via LeMat-Bulk.

a b c (Å): 7.5507 7.5507 7.5507
angles (deg): 117.36 117.36 94.64
Closest atoms and distances in Å follow each position.
Fractional positions:
Al 0.2505 0.2505 0.0000  1 Te 2.55, 1 Nb 2.56
Al 0.7495 0.7495 0.0000  1 Te 2.55, 1 Nb 2.56
Al 0.3219 0.0000 0.3219  1 Nb 2.53, 1 Al 2.80
Al 0.0000 0.3219 0.3219  1 Nb 2.53, 1 Al 2.80
Al 0.6781 0.0000 0.6781  1 Nb 2.53, 1 Al 2.80
Al 0.0000 0.6781 0.6781  1 Nb 2.53, 1 Al 2.80
Nb 0.0000 0.0000 0.0000  6 Al 2.53-2.56
Te 0.5000 0.5000 0.0000  2 Al 2.55
Te 0.7500 0.2500 0.5000  4 Al 2.92
Te 0.2500 0.7500 0.5000  4 Al 2.92

Output
The calculation puts the final energy at -3.7051 eV per atom. Its crystal system is tetragonal. Its space group is I4/mmm.

***

# 2
The following is a PBE calculation of NbAlTl after structural relaxation, from OQMD via LeMat-Bulk.

a b c (Å): 4.6419 4.6419 4.6419
angles (deg): 60.00 60.00 60.00
Closest atoms and distances in Å follow each position.
Fractional positions:
Al 0.2500 0.2500 0.2500  4 Nb 2.84
Nb 0.0000 0.0000 0.0000  4 Tl 2.84, 4 Al 2.84
Tl 0.7500 0.7500 0.7500  4 Nb 2.84

Output
The calculation puts the final energy at -4.6642 eV per atom. Its crystal system is cubic. Its space group is F-43m. The energy above the most stable polymorph in this dataset comes out at 0.000 eV per formula unit.

***

What did the second record say?
The following is a PBE calculation of NbAlTl after structural relaxation, from OQMD via LeMat-Bulk.

a b c (Å): 4.6419 4.6419 4.6419
angles (deg): 60.00 60.00 60.00
Closest atoms and distances in Å follow each position.
Fractional positions:
Al 0.2500 0.2500 0.2500  4 Nb 2.84
Nb 0.0000 0.0000 0.0000  4 Tl 2.84, 4 Al 2.84
Tl 0.7500 0.7500 0.7500  4 Nb 2.84

Output
The calculation puts the final energy at -4.6642 eV per atom. Its crystal system is cubic. Its space group is F-43m. The energy above the most stable polymorph in this dataset comes out at 0.000 eV per formula unit.

***

> What is the final energy in the second record?

-4.6642 eV per atom

***

> Which of these has the highest final energy?

NbAl6Te3